Entry 1:
Here is crystalline NbPSeO2 at its relaxed geometry from Alexandria. Energies are from PBE-GGA.

Values from the calculation:
ΔE_f (raw) ... 0.11 eV/atom
VASP energy ... -28.33 eV/cell

a b c (Å): 3.817 3.817 5.013
angles (deg): 90.00 90.00 90.00
Space group P4/mmm (No. 123)
Inequivalent atoms, fractional coordinates:
Nb 0.000 0.000 0.000
P 0.500 0.500 0.000
Se 0.500 0.500 0.500
O 0.000 0.500 0.500


Entry 2:
Here is crystalline NbPSeO2 at its relaxed geometry from Alexandria. Energies are from PBE-GGA.

Values from the calculation:
ΔE_f (raw) ... -1.10 eV/atom
VASP energy ... -34.36 eV/cell

a b c (Å): 3.865 3.865 5.609
angles (deg): 90.00 90.00 90.00
Space group P4/mmm (No. 123)
Inequivalent atoms, fractional coordinates:
Nb 0.000 0.000 0.000
P 0.000 0.000 0.500
Se 0.500 0.500 0.500
O 0.000 0.500 0.000


Q: Look up the VASP energy of the second one.
A: -34.36 eV/cell